A relaxed Ta2ReIr2 crystal, computed with GGA-PBE.

Lattice parameters (Å, degrees): 7.4808 7.4808 2.9645 90.00 90.00 90.00
Last column: nearest neighbours and their distance in Å.
Sites, in units of the cell vectors:
Ta (0.1704, 0.3296, 0.0000)  6 Ir 2.58-2.71
Ta (0.3296, 0.8296, 0.0000)  6 Ir 2.58-2.71
Ta (0.6704, 0.1704, 0.0000)  6 Ir 2.58-2.71
Ta (0.8296, 0.6704, 0.0000)  6 Ir 2.58-2.71
Re (0.0000, 0.0000, 0.5000)  4 Ir 2.93, 2 Re 2.96, 8 Ta 3.15
Re (0.5000, 0.5000, 0.5000)  4 Ir 2.93, 2 Re 2.96, 8 Ta 3.15
Ir (0.1302, 0.6302, 0.5000)  6 Ta 2.58-2.71, 1 Ir 2.76
Ir (0.3698, 0.1302, 0.5000)  6 Ta 2.58-2.71, 1 Ir 2.76
Ir (0.6302, 0.8698, 0.5000)  6 Ta 2.58-2.71, 1 Ir 2.76
Ir (0.8698, 0.3698, 0.5000)  6 Ta 2.58-2.71, 1 Ir 2.76

- E: -10.97 eV per atom
- DOS at the Fermi energy: 12.0 states/eV/cell